# 1
LaMnIn2Au: single point on PBEsol structure, SCAN.

Unit cell a=5.330 b=5.946 c=5.946 alpha=90.00 beta=90.00 gamma=90.00
Each line ends with the local moment (μB).
Sites, in units of the cell vectors:
1 In 0.000 0.500 0.000  -0.04
2 In 0.000 0.000 0.500  -0.04
3 Au 0.500 0.000 0.000  0.01
4 La 0.000 0.000 0.000  -0.06
5 Mn 0.500 0.500 0.500  4.81

Space-group type: No. 123
Spin magnetization: 4.85 μB/f.u.
Formation energy: 816.6 meV per atom


# 2
LaInAu2S: single point on PBEsol structure, SCAN.

Unit cell a=5.379 b=5.379 c=6.388 alpha=90.00 beta=90.00 gamma=90.00
Each line ends with the local moment (μB).
Sites, in units of the cell vectors:
1 La 0.000 0.000 0.000  -0.05
2 Au 0.000 0.500 0.000  0.01
3 Au 0.500 0.000 0.000  0.01
4 In 0.000 0.000 0.500  -0.04
5 S 0.500 0.500 0.500  0.49

Space-group type: No. 123
Spin magnetization: 0.59 μB/f.u.
ΔE_f (raw): 0.60 eV/atom


# 3
LiInAu: single point on PBEsol structure, SCAN.

Unit cell a=4.472 b=4.472 c=4.472 alpha=60.00 beta=60.00 gamma=60.00
Sites, in units of the cell vectors:
1 Li 0.500 0.500 0.500
2 In 0.000 0.000 0.000
3 Au 0.750 0.750 0.750

Space-group type: No. 216
Spin magnetization: 0.00 μB/f.u.
Formation energy: -474.8 meV per atom


# 4
LiInAu: single point on PBEsol structure, SCAN.

Unit cell a=2.942 b=4.694 c=4.694 alpha=120.00 beta=90.00 gamma=90.00
Sites, in units of the cell vectors:
1 In 0.828 0.333 0.667
2 Li 0.333 0.667 0.333
3 Au 0.839 0.000 0.000

Space-group type: No. 156
Spin magnetization: 0.00 μB/f.u.
Formation energy: -442.4 meV per atom


# 5
LiInAu: single point on PBEsol structure, SCAN.

Unit cell a=4.275 b=4.275 c=4.275 alpha=60.00 beta=60.00 gamma=60.00
Sites, in units of the cell vectors:
1 Au 0.000 0.000 0.000
2 In 0.500 0.500 0.500
3 Li 0.750 0.750 0.750

Space-group type: No. 216
Spin magnetization: 0.00 μB/f.u.
Formation energy: -308.1 meV per atom


# 6
Li2InAu: single point on PBEsol structure, SCAN.

Unit cell a=3.117 b=3.378 c=6.161 alpha=90.00 beta=90.00 gamma=90.00
Sites, in units of the cell vectors:
1 Li 0.000 0.000 0.220
2 Li 0.000 0.000 0.780
3 Au 0.500 0.500 0.000
4 In 0.500 0.500 0.500

Space-group type: No. 47
Spin magnetization: 0.00 μB/f.u.
Formation energy: -518.1 meV per atom


# 7
LiInAu: single point on PBEsol structure, SCAN.

Unit cell a=3.463 b=3.463 c=4.985 alpha=110.32 beta=110.32 gamma=90.00
Sites, in units of the cell vectors:
1 In 0.333 0.333 0.666
2 Li 0.658 0.658 0.316
3 Au 0.009 0.009 0.018

Space-group type: No. 107
Spin magnetization: 0.00 μB/f.u.
Formation energy: -510.5 meV per atom


# 8
LiInAu: single point on PBEsol structure, SCAN.

Unit cell a=3.072 b=3.072 c=6.818 alpha=90.00 beta=90.00 gamma=120.00
Sites, in units of the cell vectors:
1 In 0.667 0.333 0.669
2 Li 0.333 0.667 0.314
3 Au 0.000 0.000 0.017

Space-group type: No. 156
Spin magnetization: 0.00 μB/f.u.
Formation energy: -237.4 meV per atom


# 9
LiInAu2: single point on PBEsol structure, SCAN.

Unit cell a=4.590 b=4.590 c=4.590 alpha=60.00 beta=60.00 gamma=60.00
Sites, in units of the cell vectors:
1 Li 0.250 0.250 0.250
2 Au 0.000 0.000 0.000
3 Au 0.750 0.750 0.750
4 In 0.500 0.500 0.500

Space-group type: No. 216
Spin magnetization: 0.00 μB/f.u.
Formation energy: -422.4 meV per atom


# 10
Li2InAu: single point on PBEsol structure, SCAN.

Unit cell a=4.536 b=4.554 c=4.536 alpha=60.13 beta=90.00 gamma=119.87
Sites, in units of the cell vectors:
1 In 0.750 0.500 0.750
2 Li 0.250 0.500 0.250
3 Li 0.500 0.000 0.500
4 Au 0.000 0.000 0.000

Space-group type: No. 119
Spin magnetization: 0.00 μB/f.u.
Formation energy: -606.6 meV per atom


# 11
LiInAu2: single point on PBEsol structure, SCAN.

Unit cell a=4.054 b=4.054 c=5.024 alpha=113.79 beta=113.79 gamma=90.00
Sites, in units of the cell vectors:
1 Au 0.750 0.250 0.500
2 Au 0.000 0.000 0.000
3 In 0.500 0.500 0.000
4 Li 0.250 0.750 0.500

Space-group type: No. 119
Spin magnetization: 0.00 μB/f.u.
Formation energy: -478.4 meV per atom


# 12
LiInAu2: single point on PBEsol structure, SCAN.

Unit cell a=3.473 b=3.473 c=5.743 alpha=90.00 beta=90.00 gamma=90.00
Sites, in units of the cell vectors:
1 Au 0.500 0.500 0.249
2 Au 0.000 0.000 0.977
3 Li 0.500 0.500 0.780
4 In 0.000 0.000 0.494

Space-group type: No. 99
Spin magnetization: 0.00 μB/f.u.
Formation energy: -418.5 meV per atom


# 13
LiInAu2: single point on PBEsol structure, SCAN.

Unit cell a=3.082 b=3.494 c=6.314 alpha=90.00 beta=90.00 gamma=90.00
Sites, in units of the cell vectors:
1 Au 0.000 0.000 0.724
2 Au 0.000 0.000 0.276
3 Li 0.500 0.500 0.500
4 In 0.500 0.500 0.000

Space-group type: No. 47
Spin magnetization: 0.00 μB/f.u.
Formation energy: -421.5 meV per atom


# 14
Li2InAu: single point on PBEsol structure, SCAN.

Unit cell a=3.692 b=4.195 c=4.198 alpha=90.00 beta=90.00 gamma=90.00
Sites, in units of the cell vectors:
1 Li 0.000 0.000 0.125
2 Li 0.000 0.500 0.625
3 Au 0.500 0.000 0.625
4 In 0.500 0.500 0.125

Space-group type: No. 123
Spin magnetization: 0.00 μB/f.u.
Formation energy: -519.2 meV per atom


# 15
Li2InAu2: single point on PBEsol structure, SCAN.

Unit cell a=3.097 b=7.357 c=7.357 alpha=90.00 beta=90.00 gamma=90.00
Sites, in units of the cell vectors:
1 Li 0.500 0.342 0.158
2 Li 0.500 0.158 0.658
3 Li 0.500 0.658 0.842
4 Li 0.500 0.842 0.342
5 Au 0.000 0.862 0.638
6 Au 0.000 0.362 0.862
7 Au 0.000 0.138 0.362
8 Au 0.000 0.638 0.138
9 In 0.000 0.000 0.000
10 In 0.000 0.500 0.500

Space-group type: No. 127
Spin magnetization: 0.00 μB/f.u.
Formation energy: -538.2 meV per atom


# 16
LiInAu2: single point on PBEsol structure, SCAN.

Unit cell a=3.736 b=4.279 c=4.279 alpha=89.99 beta=90.00 gamma=90.00
Sites, in units of the cell vectors:
1 Au 0.000 0.500 0.000
2 Au 0.000 0.000 0.500
3 In 0.500 0.000 0.000
4 Li 0.500 0.500 0.500

Space-group type: No. 123
Spin magnetization: 0.00 μB/f.u.
Formation energy: -469.3 meV per atom


# 17
LiInTc2Au: single point on PBEsol structure, SCAN.

Unit cell a=4.188 b=4.188 c=4.378 alpha=90.00 beta=90.00 gamma=90.00
Each line ends with the local moment (μB).
Sites, in units of the cell vectors:
1 Li 0.000 0.000 0.000  0.01
2 In 0.000 0.000 0.500  -0.07
3 Tc 0.500 0.000 0.000  1.55
4 Tc 0.000 0.500 0.000  1.55
5 Au 0.500 0.500 0.500  0.01

Space-group type: No. 123
Spin magnetization: 3.19 μB/f.u.
Formation energy: 1030.9 meV per atom


# 18
LuInAu: single point on PBEsol structure, SCAN.

Unit cell a=3.764 b=7.637 c=7.637 alpha=120.00 beta=90.00 gamma=90.00
Sites, in units of the cell vectors:
1 Au 0.500 0.000 0.000
2 Au 0.000 0.667 0.333
3 Au 0.000 0.333 0.667
4 Lu 0.500 0.400 0.000
5 Lu 0.500 0.000 0.400
6 Lu 0.500 0.600 0.600
7 In 0.000 0.000 0.733
8 In 0.000 0.733 0.000
9 In 0.000 0.267 0.267

Space-group type: No. 189
Spin magnetization: 0.00 μB/f.u.
Formation energy: -941.6 meV per atom


# 19
MgIn2Au: single point on PBEsol structure, SCAN.

Unit cell a=4.377 b=4.371 c=5.315 alpha=114.28 beta=114.32 gamma=90.00
Sites, in units of the cell vectors:
1 In 0.000 0.000 0.000
2 In 0.750 0.250 0.500
3 Au 0.250 0.750 0.500
4 Mg 0.500 0.500 0.000

Space-group type: No. 119
Spin magnetization: 0.00 μB/f.u.
Formation energy: -222.5 meV per atom


# 20
Mg2InAu2: single point on PBEsol structure, SCAN.

Unit cell a=3.347 b=7.563 c=7.563 alpha=90.00 beta=90.00 gamma=90.00
Sites, in units of the cell vectors:
1 In 0.000 0.500 0.500
2 In 0.000 0.000 0.000
3 Mg 0.500 0.158 0.658
4 Mg 0.500 0.658 0.842
5 Mg 0.500 0.842 0.342
6 Mg 0.500 0.342 0.158
7 Au 0.000 0.638 0.138
8 Au 0.000 0.362 0.862
9 Au 0.000 0.862 0.638
10 Au 0.000 0.138 0.362

Space-group type: No. 127
Spin magnetization: 0.00 μB/f.u.
Formation energy: -608.6 meV per atom


# 21
MgIn2Au2: single point on PBEsol structure, SCAN.

Unit cell a=4.105 b=4.105 c=7.127 alpha=106.74 beta=106.74 gamma=90.00
Sites, in units of the cell vectors:
1 In 0.750 0.250 0.500
2 In 0.250 0.750 0.500
3 Au 0.400 0.400 0.799
4 Au 0.600 0.600 0.201
5 Mg 0.000 0.000 0.000

Space-group type: No. 139
Spin magnetization: 0.00 μB/f.u.
Formation energy: -224.0 meV per atom


# 22
MgIn2Au: single point on PBEsol structure, SCAN.

Unit cell a=3.372 b=4.926 c=5.993 alpha=113.82 beta=105.72 gamma=91.45
Sites, in units of the cell vectors:
1 In 0.000 0.000 0.500
2 In 0.500 0.500 0.500
3 Au 0.000 0.000 0.000
4 Mg 0.500 0.500 0.000

Space-group type: No. 12
Spin magnetization: 0.00 μB/f.u.
Formation energy: -165.1 meV per atom


# 23
MgIn2Au: single point on PBEsol structure, SCAN.

Unit cell a=4.927 b=4.927 c=4.927 alpha=60.00 beta=60.00 gamma=60.00
Sites, in units of the cell vectors:
1 In 0.250 0.250 0.250
2 In 0.000 0.000 0.000
3 Au 0.500 0.500 0.500
4 Mg 0.750 0.750 0.750

Space-group type: No. 216
Spin magnetization: 0.00 μB/f.u.
Formation energy: -143.3 meV per atom


# 24
MgNb2InAu: single point on PBEsol structure, SCAN.

Unit cell a=4.606 b=4.779 c=4.779 alpha=90.00 beta=90.00 gamma=90.00
Sites, in units of the cell vectors:
1 Nb 0.000 0.000 0.500
2 Nb 0.000 0.500 0.000
3 Mg 0.000 0.000 0.000
4 In 0.500 0.500 0.500
5 Au 0.500 0.000 0.000

Space-group type: No. 123
Spin magnetization: 0.00 μB/f.u.
Formation energy: 1136.9 meV per atom


# 25
Mg2InPtAu: single point on PBEsol structure, SCAN.

Unit cell a=4.903 b=4.903 c=5.055 alpha=90.00 beta=90.00 gamma=90.00
Sites, in units of the cell vectors:
1 Mg 0.000 0.500 0.000
2 Mg 0.500 0.000 0.000
3 In 0.500 0.500 0.500
4 Au 0.000 0.000 0.000
5 Pt 0.000 0.000 0.500

Space-group type: No. 123
Spin magnetization: 0.00 μB/f.u.
Formation energy: 66.5 meV per atom


# 26
MnIn3Au: single point on PBEsol structure, SCAN.

Unit cell a=4.954 b=4.954 c=4.954 alpha=90.00 beta=90.00 gamma=90.00
Each line ends with the local moment (μB).
Sites, in units of the cell vectors:
1 In 0.000 0.000 0.500  -0.03
2 In 0.000 0.500 0.000  -0.03
3 In 0.500 0.000 0.000  -0.03
4 Mn 0.000 0.000 0.000  2.73
5 Au 0.500 0.500 0.500  0.11

Space-group type: No. 221
Spin magnetization: 2.80 μB/f.u.
Formation energy: 311.8 meV per atom


# 27
TaMnIn2Au: single point on PBEsol structure, SCAN.

Unit cell a=4.961 b=5.308 c=5.308 alpha=90.00 beta=90.00 gamma=90.00
Each line ends with the local moment (μB).
Sites, in units of the cell vectors:
1 In 0.000 0.500 0.000  -0.01
2 In 0.000 0.000 0.500  -0.01
3 Au 0.500 0.000 0.000  0.01
4 Ta 0.000 0.000 0.000  -0.06
5 Mn 0.500 0.500 0.500  4.72

Space-group type: No. 123
Spin magnetization: 4.91 μB/f.u.
Formation energy: 879.7 meV per atom


# 28
In2MoAu: single point on PBEsol structure, SCAN.

Unit cell a=2.936 b=4.943 c=5.434 alpha=101.33 beta=90.00 gamma=107.28
Sites, in units of the cell vectors:
1 Au 0.500 0.000 0.000
2 In 0.751 0.501 0.745
3 In 0.249 0.499 0.255
4 Mo 0.000 0.000 0.500

Space-group type: No. 12
Spin magnetization: 0.00 μB/f.u.
Formation energy: 271.3 meV per atom


# 29
InMo4Au: single point on PBEsol structure, SCAN.

Unit cell a=5.231 b=5.231 c=5.231 alpha=60.00 beta=60.00 gamma=60.00
Sites, in units of the cell vectors:
1 Mo 0.376 0.376 0.872
2 Mo 0.376 0.872 0.376
3 Mo 0.376 0.376 0.376
4 Mo 0.872 0.376 0.376
5 In 0.000 0.000 0.000
6 Au 0.750 0.750 0.750

Space-group type: No. 216
Spin magnetization: 0.00 μB/f.u.
Formation energy: 455.8 meV per atom